--- w ---
# Ca3CdCu | Alexandria via LeMat-Bulk | GGA-PBE | optimized geometry
# - Crystal system: monoclinic
# - DOS(E_F): 7.696 states/eV/cell
data_Ca3CdCu
_cell_length_a 8.280
_cell_length_b 4.389
_cell_length_c 8.734
_cell_angle_alpha 90.00
_cell_angle_beta 110.65
_cell_angle_gamma 90.00
_space_group_name_H-M_alt 'P 1 21/m 1'
_space_group_IT_number 11
_space_group_name_Hall '-P 2yb'
loop_
_atom_site_label
_atom_site_fract_x
_atom_site_fract_y
_atom_site_fract_z
Ca1 0.063 0.250 0.229
Ca2 0.314 0.250 0.922
Ca3 0.343 0.750 0.585
Cd1 0.345 0.750 0.199
Cu1 0.052 0.250 0.571



--- x ---
# Ca3CdCu | Alexandria via LeMat-Bulk | GGA-PBE | optimized geometry
# - Crystal system: cubic
# - DOS(E_F): 3.766 states/eV/cell
data_Ca3CdCu
_cell_length_a 5.530
_cell_length_b 5.530
_cell_length_c 5.530
_cell_angle_alpha 90.00
_cell_angle_beta 90.00
_cell_angle_gamma 90.00
_space_group_name_H-M_alt 'P m -3 m'
_space_group_IT_number 221
_space_group_name_Hall '-P 4 2 3'
loop_
_atom_site_label
_atom_site_fract_x
_atom_site_fract_y
_atom_site_fract_z
Ca1 0.000 0.000 0.500
Cd1 0.500 0.500 0.500
Cu1 0.000 0.000 0.000



w is favored, and the nearest alternative lies 174 meV/atom above it.



--- w ---
# LiCa2CdCu | Alexandria via LeMat-Bulk | GGA-PBE | optimized geometry
# - Crystal system: tetragonal
# - DOS(E_F): 2.491 states/eV/cell
data_LiCa2CdCu
_cell_length_a 5.559
_cell_length_b 5.559
_cell_length_c 4.661
_cell_angle_alpha 90.00
_cell_angle_beta 90.00
_cell_angle_gamma 90.00
_space_group_name_H-M_alt 'P 4/m m m'
_space_group_IT_number 123
_space_group_name_Hall '-P 4 2'
loop_
_atom_site_label
_atom_site_fract_x
_atom_site_fract_y
_atom_site_fract_z
Li1 0.000 0.000 0.000
Ca1 0.000 0.500 0.500
Cd1 0.500 0.500 0.000
Cu1 0.000 0.000 0.500



--- x ---
# LiCa2CdCu | Alexandria via LeMat-Bulk | GGA-PBE | optimized geometry
# - Crystal system: tetragonal
# - DOS(E_F): 4.636 states/eV/cell
data_LiCa2CdCu
_cell_length_a 5.564
_cell_length_b 5.564
_cell_length_c 4.984
_cell_angle_alpha 90.00
_cell_angle_beta 90.00
_cell_angle_gamma 90.00
_space_group_name_H-M_alt 'P 4/m m m'
_space_group_IT_number 123
_space_group_name_Hall '-P 4 2'
loop_
_atom_site_label
_atom_site_fract_x
_atom_site_fract_y
_atom_site_fract_z
Li1 0.000 0.000 0.000
Ca1 0.000 0.500 0.500
Cd1 0.500 0.500 0.000
Cu1 0.500 0.500 0.500



w is favored, and the nearest alternative lies 19 meV/atom above it.



--- w ---
# Sr2CaCdCu | Alexandria via LeMat-Bulk | GGA-PBE | optimized geometry
# - Crystal system: tetragonal
# - DOS(E_F): 2.830 states/eV/cell
data_Sr2CaCdCu
_cell_length_a 5.876
_cell_length_b 5.876
_cell_length_c 5.594
_cell_angle_alpha 90.00
_cell_angle_beta 90.00
_cell_angle_gamma 90.00
_space_group_name_H-M_alt 'P 4/m m m'
_space_group_IT_number 123
_space_group_name_Hall '-P 4 2'
loop_
_atom_site_label
_atom_site_fract_x
_atom_site_fract_y
_atom_site_fract_z
Sr1 0.000 0.500 0.000
Ca1 0.000 0.000 0.500
Cd1 0.500 0.500 0.500
Cu1 0.000 0.000 0.000



--- x ---
# Sr2CaCdCu | Alexandria via LeMat-Bulk | GGA-PBE | optimized geometry
# - Crystal system: tetragonal
# - DOS(E_F): 5.232 states/eV/cell
data_Sr2CaCdCu
_cell_length_a 5.989
_cell_length_b 5.989
_cell_length_c 5.101
_cell_angle_alpha 90.00
_cell_angle_beta 90.00
_cell_angle_gamma 90.00
_space_group_name_H-M_alt 'P 4/m m m'
_space_group_IT_number 123
_space_group_name_Hall '-P 4 2'
loop_
_atom_site_label
_atom_site_fract_x
_atom_site_fract_y
_atom_site_fract_z
Sr1 0.000 0.500 0.000
Ca1 0.000 0.000 0.500
Cd1 0.500 0.500 0.500
Cu1 0.500 0.500 0.000



w is favored, and the nearest alternative lies 16 meV/atom above it.



--- w ---
# CaDyCd | Alexandria via LeMat-Bulk | GGA-PBE | optimized geometry
# - Crystal system: tetragonal
# - DOS(E_F): 6.672 states/eV/cell
data_CaDyCd
_cell_length_a 3.702
_cell_length_b 3.702
_cell_length_c 13.407
_cell_angle_alpha 90.00
_cell_angle_beta 90.00
_cell_angle_gamma 90.00
_space_group_name_H-M_alt 'I 4 m m'
_space_group_IT_number 107
_space_group_name_Hall 'I 4 -2'
loop_
_atom_site_label
_atom_site_fract_x
_atom_site_fract_y
_atom_site_fract_z
Ca1 0.000 0.000 0.000
Dy1 0.000 0.000 0.290
Cd1 0.000 0.000 0.654



--- x ---
# CaDyCd | Alexandria via LeMat-Bulk | GGA-PBE | optimized geometry
# - Crystal system: trigonal
# - DOS(E_F): 21.312 states/eV/cell
data_CaDyCd
_cell_length_a 5.2062
_cell_length_b 5.2062
_cell_length_c 26.1356
_cell_angle_alpha 90.00
_cell_angle_beta 90.00
_cell_angle_gamma 120.00
_space_group_name_H-M_alt 'R -3 m'
_space_group_IT_number 166
_space_group_name_Hall '-R 3 2"'
loop_
_atom_site_label
_atom_site_fract_x
_atom_site_fract_y
_atom_site_fract_z
Ca1 0.0000 0.0000 0.1232
Dy1 0.0000 0.0000 0.3706
Cd1 0.0000 0.0000 0.2536



--- y ---
# CaDyCd | Alexandria via LeMat-Bulk | GGA-PBE | optimized geometry
# - Crystal system: hexagonal
# - DOS(E_F): 8.683 states/eV/cell
data_CaDyCd
_cell_length_a 5.4454
_cell_length_b 5.4454
_cell_length_c 6.8759
_cell_angle_alpha 90.00
_cell_angle_beta 90.00
_cell_angle_gamma 120.00
_space_group_name_H-M_alt 'P 63/m m c'
_space_group_IT_number 194
_space_group_name_Hall '-P 6c 2c'
loop_
_atom_site_label
_atom_site_fract_x
_atom_site_fract_y
_atom_site_fract_z
Ca1 0.0000 0.0000 0.0000
Dy1 0.3333 0.6667 0.2500
Cd1 0.3333 0.6667 0.7500



--- z ---
# CaDyCd | Alexandria via LeMat-Bulk | GGA-PBE | optimized geometry
# - Crystal system: trigonal
# - DOS(E_F): 3.894 states/eV/cell
data_CaDyCd
_cell_length_a 5.3491
_cell_length_b 5.3491
_cell_length_c 3.6167
_cell_angle_alpha 90.00
_cell_angle_beta 90.00
_cell_angle_gamma 120.00
_space_group_name_H-M_alt 'P 3 m 1'
_space_group_IT_number 156
_space_group_name_Hall 'P 3 -2"'
loop_
_atom_site_label
_atom_site_fract_x
_atom_site_fract_y
_atom_site_fract_z
Ca1 0.0000 0.0000 0.0000
Dy1 0.3333 0.6667 0.4393
Cd1 0.6667 0.3333 0.7206



w is favored, and the nearest alternative lies 16 meV/atom above it.



--- w ---
# Ca2DyCd | Alexandria via LeMat-Bulk | GGA-PBE | optimized geometry
# - Crystal system: trigonal
# - DOS(E_F): 16.824 states/eV/cell
data_Ca2DyCd
_cell_length_a 3.6022
_cell_length_b 3.6022
_cell_length_c 36.0941
_cell_angle_alpha 90.00
_cell_angle_beta 90.00
_cell_angle_gamma 120.00
_space_group_name_H-M_alt 'R -3 m'
_space_group_IT_number 166
_space_group_name_Hall '-R 3 2"'
loop_
_atom_site_label
_atom_site_fract_x
_atom_site_fract_y
_atom_site_fract_z
Ca1 0.0000 0.0000 0.0955
Dy1 0.0000 0.0000 0.0000
Cd1 0.0000 0.0000 0.5000



--- x ---
# Ca2DyCd | Alexandria via LeMat-Bulk | GGA-PBE | optimized geometry
# - Crystal system: trigonal
# - DOS(E_F): 13.913 states/eV/cell
data_Ca2DyCd
_cell_length_a 3.7484
_cell_length_b 3.7484
_cell_length_c 32.9980
_cell_angle_alpha 90.00
_cell_angle_beta 90.00
_cell_angle_gamma 120.00
_space_group_name_H-M_alt 'R 3 m'
_space_group_IT_number 160
_space_group_name_Hall 'R 3 -2"'
loop_
_atom_site_label
_atom_site_fract_x
_atom_site_fract_y
_atom_site_fract_z
Ca1 0.0000 0.0000 0.0000
Ca2 0.0000 0.0000 0.1826
Dy1 0.0000 0.0000 0.7573
Cd1 0.0000 0.0000 0.5917



x is favored, and the nearest alternative lies 154 meV/atom above it.



--- w ---
# CaPrDyCd | Alexandria via LeMat-Bulk | GGA-PBE | optimized geometry
# - Crystal system: tetragonal
# - DOS(E_F): 5.441 states/eV/cell
data_CaPrDyCd
_cell_length_a 3.662
_cell_length_b 3.662
_cell_length_c 9.503
_cell_angle_alpha 90.00
_cell_angle_beta 90.00
_cell_angle_gamma 90.00
_space_group_name_H-M_alt 'P 4 m m'
_space_group_IT_number 99
_space_group_name_Hall 'P 4 -2'
loop_
_atom_site_label
_atom_site_fract_x
_atom_site_fract_y
_atom_site_fract_z
Ca1 0.000 0.000 0.000
Pr1 0.500 0.500 0.312
Dy1 0.000 0.000 0.574
Cd1 0.500 0.500 0.779



--- x ---
# CaPrDyCd | Alexandria via LeMat-Bulk | GGA-PBE | optimized geometry
# - Crystal system: cubic
# - DOS(E_F): 21.685 states/eV/cell
data_CaPrDyCd
_cell_length_a 7.906
_cell_length_b 7.906
_cell_length_c 7.906
_cell_angle_alpha 90.00
_cell_angle_beta 90.00
_cell_angle_gamma 90.00
_space_group_name_H-M_alt 'F -4 3 m'
_space_group_IT_number 216
_space_group_name_Hall 'F -4 2 3'
loop_
_atom_site_label
_atom_site_fract_x
_atom_site_fract_y
_atom_site_fract_z
Ca1 0.000 0.000 0.000
Pr1 0.250 0.250 0.250
Dy1 0.250 0.250 0.750
Cd1 0.000 0.000 0.500



w is favored, and the nearest alternative lies 119 meV/atom above it.